w | Material: LaBSb3
Method: DFT, PBE
State: optimized geometry

Structure (CIF):
```
data_LaBSb3
_chemical_formula_sum 'La1 B1 Sb3'
_cell_length_a 4.984
_cell_length_b 4.984
_cell_length_c 4.984
_cell_angle_alpha 90.00
_cell_angle_beta 90.00
_cell_angle_gamma 90.00
_space_group_name_H-M_alt 'P m -3 m'
_space_group_IT_number 221
_space_group_name_Hall '-P 4 2 3'
loop_
_atom_site_label
_atom_site_type_symbol
_atom_site_fract_x
_atom_site_fract_y
_atom_site_fract_z
La1 La 0.000 0.000 0.000
B1 B 0.500 0.500 0.500
Sb1 Sb 0.000 0.500 0.500
```



x | Material: LaBSb3
Method: DFT, PBE
State: optimized geometry

Structure (CIF):
```
data_LaBSb3
_chemical_formula_sum 'La1 B1 Sb3'
_cell_length_a 6.039
_cell_length_b 6.039
_cell_length_c 6.039
_cell_angle_alpha 90.00
_cell_angle_beta 90.00
_cell_angle_gamma 90.00
_space_group_name_H-M_alt 'P m -3 m'
_space_group_IT_number 221
_space_group_name_Hall '-P 4 2 3'
loop_
_atom_site_label
_atom_site_type_symbol
_atom_site_fract_x
_atom_site_fract_y
_atom_site_fract_z
La1 La 0.000 0.000 0.000
B1 B 0.500 0.500 0.500
Sb1 Sb 0.000 0.000 0.500
```



Which is most stable, and by how much? w, by 132.0 kJ/mol of atoms.